The following is a PBE calculation of crystalline LaPrIr2N2O2 at its relaxed geometry, from OQMD.

```
data_LaPrIr2N2O2
_cell_length_a 4.030
_cell_length_b 4.030
_cell_length_c 7.673
_cell_angle_alpha 90.00
_cell_angle_beta 90.00
_cell_angle_gamma 90.00
_space_group_name_H-M_alt 'P 4 m m'
_space_group_IT_number 99
_space_group_name_Hall 'P 4 -2'
loop_
_atom_site_label
_atom_site_fract_x
_atom_site_fract_y
_atom_site_fract_z
_atom_site_occupancy
La1 0.000 0.000 0.000 1
Pr1 0.500 0.500 0.683 1
Ir1 0.000 0.500 0.342 1
N1 0.000 0.000 0.426 1
N2 0.500 0.500 0.252 1
O1 0.000 0.500 0.840 1
```

Summary:
Crystal system: tetragonal
Magnetic moment: 0.0001 μB/atom
VASP energy: -7.903 eV/atom
Calculated volume: 15.6 Å³/atom